Material: CrGaReIr
Method: DFT, PBE
State: optimized geometry

Properties
For the energy of formation, the calculation gives -0.238 eV/f.u. As for the symmetry: F-43m.

Geometry as POSCAR:
```
CrGaReIr
1.0
-1.197 0.952 -4.008
1.474 -2.326 -3.289
-2.645 -2.622 -2.129
Re Ir Ga Cr
1 1 1 1
Direct
0.000 0.000 0.000
0.500 0.500 0.500
0.250 0.250 0.250
0.750 0.750 0.750
```